--- P ---
The following is a PBE+U calculation of CoAuNO after structural relaxation, from OQMD.

Lattice parameters (Å, degrees): 3.9031 3.9031 6.3311 90.00 90.00 90.00
Closest atoms and distances in Å follow each position.
Positions (direct):
1 Co 0.2500 0.7500 0.0000  4 N 1.97
2 Co 0.7500 0.2500 0.0000  4 N 1.97
3 Au 0.2500 0.2500 0.3364  4 O 2.21, 1 N 2.38
4 Au 0.7500 0.7500 0.6636  4 O 2.21, 1 N 2.38
5 N 0.2500 0.2500 0.9604  4 Co 1.97
6 N 0.7500 0.7500 0.0396  4 Co 1.97
7 O 0.2500 0.7500 0.5000  4 Au 2.21
8 O 0.7500 0.2500 0.5000  4 Au 2.21

Properties
Volume   96 Å³ per cell
Theoretical density   9.84 Mg/m³

=====

--- Q ---
The following is a PBE+U calculation of CoAuNO after structural relaxation, from OQMD.

Lattice parameters (Å, degrees): 4.0557 4.0557 6.1906 90.00 90.00 90.12
Closest atoms and distances in Å follow each position.
Positions (direct):
1 Co 0.2500 0.7500 0.9352  4 O 2.07, 1 N 2.14
2 Co 0.7500 0.2500 0.0648  4 O 2.07, 1 N 2.14
3 Au 0.2500 0.2500 0.5000  4 N 2.10
4 Au 0.7500 0.7500 0.5000  4 N 2.10
5 N 0.2500 0.7500 0.5891  4 Au 2.10, 1 Co 2.14
6 N 0.7500 0.2500 0.4109  4 Au 2.10, 1 Co 2.14
7 O 0.2500 0.2500 0.0000  4 Co 2.07
8 O 0.7500 0.7500 0.0000  4 Co 2.07

Properties
Volume   102 Å³ per cell
Theoretical density   9.32 Mg/m³

=====

--- R ---
The following is a PBE+U calculation of CoAuNO after structural relaxation, from OQMD.

Lattice parameters (Å, degrees): 5.4335 6.9373 5.2102 90.00 90.00 90.00
Closest atoms and distances in Å follow each position.
Positions (direct):
1 Co 0.0753 0.1238 0.0000  3 N 1.85-1.93, 1 O 1.87
2 Co 0.4247 0.1238 0.5000  3 N 1.85-1.93, 1 O 1.87
3 Co 0.5753 0.8762 0.0000  3 N 1.85-1.93, 1 O 1.87
4 Co 0.9247 0.8762 0.5000  3 N 1.85-1.93, 1 O 1.87
5 Au 0.0384 0.3612 0.5805  1 N 2.02, 1 O 2.13
6 Au 0.4616 0.3612 0.0805  1 N 2.02, 1 O 2.13
7 Au 0.5384 0.6388 0.5805  1 N 2.02, 1 O 2.13
8 Au 0.9616 0.6388 0.0805  1 N 2.02, 1 O 2.13
9 N 0.1061 0.0777 0.6365  3 Co 1.85-1.93, 1 Au 2.02
10 N 0.3939 0.0777 0.1365  3 Co 1.85-1.93, 1 Au 2.02
11 N 0.6061 0.9223 0.6365  3 Co 1.85-1.93, 1 Au 2.02
12 N 0.8939 0.9223 0.1365  3 Co 1.85-1.93, 1 Au 2.02
13 O 0.0908 0.6624 0.6338  1 Co 1.87
14 O 0.4092 0.6624 0.1338  1 Co 1.87
15 O 0.5908 0.3376 0.6338  1 Co 1.87
16 O 0.9092 0.3376 0.1338  1 Co 1.87

Properties
Volume   196 Å³ per cell
Theoretical density   9.67 Mg/m³

=====

It comes down to R, which is 13 meV/atom more stable than the next structure.